First-principles (PBE-GGA) data for a geometry-optimized ReBSb2Te structure, as listed in the Alexandria database.

a = 5.114 Å, b = 5.114 Å, c = 5.430 Å
α = 90.00°, β = 90.00°, γ = 90.00°
Space group P4/mmm (No. 123)
One atom of each set of equivalent atoms:
Re: 0.000 0.000 0.000 x1
B: 0.500 0.500 0.500 x1
Sb: 0.000 0.500 0.000 x2
Te: 0.000 0.000 0.500 x1

## Properties
- V (Å³ per atom) = 28.41
- total magnetic moment (μB per atom) = 0.048
- raw formation energy (kcal/mol of atoms) = 35.7
- excess energy over the best structure of this formula in the dataset (meV/atom) = 192
- D(E_F) (states/eV/cell) = 6.8

First-principles (PBE-GGA) data for a geometry-optimized ReBSbTe2 structure, as listed in the Alexandria database.

a = 5.263 Å, b = 5.263 Å, c = 5.155 Å
α = 90.00°, β = 90.00°, γ = 90.00°
Space group P4/mmm (No. 123)
One atom of each set of equivalent atoms:
Re: 0.000 0.000 0.000 x1
B: 0.500 0.500 0.500 x1
Sb: 0.000 0.000 0.500 x1
Te: 0.000 0.500 0.000 x2

## Properties
- V (Å³ per atom) = 28.56
- total magnetic moment (μB per atom) = 0.000
- raw formation energy (kcal/mol of atoms) = 36.1
- excess energy over the best structure of this formula in the dataset (meV/atom) = 198
- D(E_F) (states/eV/cell) = 6.2

First-principles (PBE-GGA) data for a geometry-optimized ReBSb2Te structure, as listed in the Alexandria database.

a = 4.668 Å, b = 4.668 Å, c = 4.695 Å
α = 90.00°, β = 90.00°, γ = 90.00°
Space group P4/mmm (No. 123)
One atom of each set of equivalent atoms:
Re: 0.000 0.000 0.000 x1
B: 0.500 0.500 0.500 x1
Sb: 0.000 0.500 0.500 x2
Te: 0.500 0.500 0.000 x1

## Properties
- V (Å³ per atom) = 20.47
- total magnetic moment (μB per atom) = 0.352
- raw formation energy (kcal/mol of atoms) = 31.2
- excess energy over the best structure of this formula in the dataset (meV/atom) = 0
- D(E_F) (states/eV/cell) = 3.3

First-principles (PBE-GGA) data for a geometry-optimized ReBSbTe2 structure, as listed in the Alexandria database.

a = 4.686 Å, b = 4.686 Å, c = 4.636 Å
α = 90.00°, β = 90.00°, γ = 90.00°
Space group P4/mmm (No. 123)
One atom of each set of equivalent atoms:
Re: 0.000 0.000 0.000 x1
B: 0.500 0.500 0.500 x1
Sb: 0.500 0.500 0.000 x1
Te: 0.000 0.500 0.500 x2

## Properties
- V (Å³ per atom) = 20.36
- total magnetic moment (μB per atom) = 0.233
- raw formation energy (kcal/mol of atoms) = 31.6
- excess energy over the best structure of this formula in the dataset (meV/atom) = 0
- D(E_F) (states/eV/cell) = 3.9

First-principles (PBE-GGA) data for a geometry-optimized TlReBSb2 structure, as listed in the Alexandria database.

a = 5.071 Å, b = 5.071 Å, c = 4.161 Å
α = 90.00°, β = 90.00°, γ = 90.00°
Space group P4/mmm (No. 123)
One atom of each set of equivalent atoms:
Tl: 0.000 0.000 0.000 x1
Re: 0.500 0.500 0.000 x1
B: 0.500 0.500 0.500 x1
Sb: 0.000 0.500 0.500 x2

## Properties
- V (Å³ per atom) = 21.40
- total magnetic moment (μB per atom) = 0.001
- raw formation energy (kcal/mol of atoms) = 21.6
- D(E_F) (states/eV/cell) = 4.9

First-principles (PBE-GGA) data for a geometry-optimized ScRe2B6 structure, as listed in the Alexandria database.

a = 5.2336 Å, b = 5.2336 Å, c = 3.4069 Å
α = 90.00°, β = 90.00°, γ = 120.00°
Space group P6/mmm (No. 191)
One atom of each set of equivalent atoms:
Sc: 0.0000 0.0000 0.0000 x1
Re: 0.3333 0.6667 0.0000 x2
B: 0.0000 0.3358 0.5000 x6

## Properties
- V (Å³ per atom) = 8.98
- total magnetic moment (μB per atom) = 0.000
- formation energy (eV/atom) = -0.300
- D(E_F) (states/eV/cell) = 3.5

First-principles (PBE-GGA) data for a geometry-optimized ScRe2B structure, as listed in the Alexandria database.

a = 3.911 Å, b = 3.911 Å, c = 17.093 Å
α = 90.00°, β = 90.00°, γ = 90.00°
Space group I-42d (No. 122)
One atom of each set of equivalent atoms:
Sc: 0.000 0.000 0.000 x4
Re: 0.171 0.250 0.625 x8
B: 0.000 0.000 0.500 x4

## Properties
- V (Å³ per atom) = 16.34
- total magnetic moment (μB per atom) = 0.000
- formation energy (eV/atom) = 0.627
- D(E_F) (states/eV/cell) = 12.6

First-principles (PBE-GGA) data for a geometry-optimized Sc2ReB6 structure, as listed in the Alexandria database.

a = 5.2928 Å, b = 5.2928 Å, c = 3.4524 Å
α = 90.00°, β = 90.00°, γ = 120.00°
Space group P6/mmm (No. 191)
One atom of each set of equivalent atoms:
Sc: 0.3333 0.6667 0.0000 x2
Re: 0.0000 0.0000 0.0000 x1
B: 0.0000 0.3279 0.5000 x6

## Properties
- V (Å³ per atom) = 9.31
- total magnetic moment (μB per atom) = 0.000
- formation energy (eV/atom) = -0.688
- D(E_F) (states/eV/cell) = 2.7

First-principles (PBE-GGA) data for a geometry-optimized ScRe5B3 structure, as listed in the Alexandria database.

a = 9.409 Å, b = 7.033 Å, c = 8.696 Å
α = 90.00°, β = 121.96°, γ = 90.00°
Space group C2/m (No. 12)
One atom of each set of equivalent atoms:
Sc: 0.224 0.000 0.286 x4
Re: 0.000 0.307 0.000 x4
Re: 0.044 0.291 0.356 x8
Re: 0.159 0.000 0.900 x4
Re: 0.249 0.000 0.664 x4
B: 0.000 0.000 0.000 x2
B: 0.000 0.500 0.500 x2
B: 0.015 0.000 0.406 x4
B: 0.095 0.500 0.869 x4

## Properties
- V (Å³ per atom) = 13.56
- total magnetic moment (μB per atom) = 0.000
- formation energy (eV/atom) = 0.064
- D(E_F) (states/eV/cell) = 22.8

First-principles (PBE-GGA) data for a geometry-optimized ScRe2B2 structure, as listed in the Alexandria database.

a = 6.196 Å, b = 6.196 Å, c = 3.068 Å
α = 90.00°, β = 90.00°, γ = 90.00°
Space group P4/mbm (No. 127)
One atom of each set of equivalent atoms:
Sc: 0.000 0.000 0.000 x2
Re: 0.160 0.340 0.500 x4
B: 0.117 0.617 0.000 x4

## Properties
- V (Å³ per atom) = 11.78
- total magnetic moment (μB per atom) = 0.000
- formation energy (eV/atom) = -0.255
- D(E_F) (states/eV/cell) = 6.2

First-principles (PBE-GGA) data for a geometry-optimized Sc2TlReB structure, as listed in the Alexandria database.

a = 4.693 Å, b = 4.693 Å, c = 4.108 Å
α = 90.00°, β = 90.00°, γ = 90.00°
Space group P4/mmm (No. 123)
One atom of each set of equivalent atoms:
Sc: 0.000 0.500 0.000 x2
Tl: 0.000 0.000 0.500 x1
Re: 0.500 0.500 0.500 x1
B: 0.500 0.500 0.000 x1

## Properties
- V (Å³ per atom) = 18.10
- total magnetic moment (μB per atom) = 0.000
- formation energy (eV/atom) = -0.217
- D(E_F) (states/eV/cell) = 3.8

First-principles (PBE-GGA) data for a geometry-optimized Re3BSe structure, as listed in the Alexandria database.

a = 4.187 Å, b = 4.187 Å, c = 4.187 Å
α = 90.00°, β = 90.00°, γ = 90.00°
Space group Pm-3m (No. 221)
One atom of each set of equivalent atoms:
Re: 0.000 0.000 0.500 x3
B: 0.000 0.000 0.000 x1
Se: 0.500 0.500 0.500 x1

## Properties
- V (Å³ per atom) = 14.68
- total magnetic moment (μB per atom) = 0.000
- raw formation energy (kcal/mol of atoms) = 19.0
- excess energy over the best structure of this formula in the dataset (meV/atom) = 0
- D(E_F) (states/eV/cell) = 3.5

First-principles (PBE-GGA) data for a geometry-optimized ReBSe3 structure, as listed in the Alexandria database.

a = 4.894 Å, b = 4.894 Å, c = 4.894 Å
α = 90.00°, β = 90.00°, γ = 90.00°
Space group Pm-3m (No. 221)
One atom of each set of equivalent atoms:
Re: 0.000 0.000 0.000 x1
B: 0.500 0.500 0.500 x1
Se: 0.000 0.000 0.500 x3

## Properties
- V (Å³ per atom) = 23.44
- total magnetic moment (μB per atom) = 0.000
- raw formation energy (kcal/mol of atoms) = 30.6
- excess energy over the best structure of this formula in the dataset (meV/atom) = 107
- D(E_F) (states/eV/cell) = 5.5

First-principles (PBE-GGA) data for a geometry-optimized ReBSe3 structure, as listed in the Alexandria database.

a = 4.313 Å, b = 4.313 Å, c = 4.313 Å
α = 90.00°, β = 90.00°, γ = 90.00°
Space group Pm-3m (No. 221)
One atom of each set of equivalent atoms:
Re: 0.000 0.000 0.000 x1
B: 0.500 0.500 0.500 x1
Se: 0.000 0.500 0.500 x3

## Properties
- V (Å³ per atom) = 16.04
- total magnetic moment (μB per atom) = 0.086
- raw formation energy (kcal/mol of atoms) = 28.1
- excess energy over the best structure of this formula in the dataset (meV/atom) = 0
- D(E_F) (states/eV/cell) = 4.1

First-principles (PBE-GGA) data for a geometry-optimized ReB3Se structure, as listed in the Alexandria database.

a = 4.202 Å, b = 4.202 Å, c = 4.202 Å
α = 90.00°, β = 90.00°, γ = 90.00°
Space group Pm-3m (No. 221)
One atom of each set of equivalent atoms:
Re: 0.000 0.000 0.000 x1
B: 0.000 0.000 0.500 x3
Se: 0.500 0.500 0.500 x1

## Properties
- V (Å³ per atom) = 14.84
- total magnetic moment (μB per atom) = 0.000
- raw formation energy (kcal/mol of atoms) = 34.6
- excess energy over the best structure of this formula in the dataset (meV/atom) = 0
- D(E_F) (states/eV/cell) = 3.0

First-principles (PBE-GGA) data for a geometry-optimized ReB3Se structure, as listed in the Alexandria database.

a = 3.969 Å, b = 3.969 Å, c = 3.969 Å
α = 90.00°, β = 90.00°, γ = 90.00°
Space group Pm-3m (No. 221)
One atom of each set of equivalent atoms:
Re: 0.000 0.000 0.000 x1
B: 0.000 0.500 0.500 x3
Se: 0.500 0.500 0.500 x1

## Properties
- V (Å³ per atom) = 12.50
- total magnetic moment (μB per atom) = 0.001
- raw formation energy (kcal/mol of atoms) = 56.0
- excess energy over the best structure of this formula in the dataset (meV/atom) = 930
- D(E_F) (states/eV/cell) = 4.7

First-principles (PBE-GGA) data for a geometry-optimized ReB2Se6 structure, as listed in the Alexandria database.

a = 11.669 Å, b = 10.381 Å, c = 6.203 Å
α = 90.00°, β = 101.43°, γ = 90.00°
Space group C2/c (No. 15)
One atom of each set of equivalent atoms:
Re: 0.000 0.127 0.250 x4
B: 0.207 0.432 0.343 x8
Se: 0.111 0.074 0.623 x8
Se: 0.139 0.426 0.625 x8
Se: 0.153 0.259 0.170 x8

## Properties
- V (Å³ per atom) = 20.46
- total magnetic moment (μB per atom) = 0.000
- raw formation energy (kcal/mol of atoms) = 0.2
- D(E_F) (states/eV/cell) = 19.9

First-principles (PBE-GGA) data for a geometry-optimized ReBTeSe2 structure, as listed in the Alexandria database.

a = 4.350 Å, b = 4.350 Å, c = 4.610 Å
α = 90.00°, β = 90.00°, γ = 90.00°
Space group P4/mmm (No. 123)
One atom of each set of equivalent atoms:
Re: 0.000 0.000 0.000 x1
B: 0.500 0.500 0.500 x1
Te: 0.500 0.500 0.000 x1
Se: 0.000 0.500 0.500 x2

## Properties
- V (Å³ per atom) = 17.45
- total magnetic moment (μB per atom) = 0.000
- raw formation energy (kcal/mol of atoms) = 29.6
- D(E_F) (states/eV/cell) = 3.5

First-principles (PBE-GGA) data for a geometry-optimized VRe2BSe structure, as listed in the Alexandria database.

a = 4.162 Å, b = 4.162 Å, c = 4.152 Å
α = 90.00°, β = 90.00°, γ = 90.00°
Space group P4/mmm (No. 123)
One atom of each set of equivalent atoms:
V: 0.000 0.000 0.000 x1
Re: 0.000 0.500 0.500 x2
B: 0.000 0.000 0.500 x1
Se: 0.500 0.500 0.000 x1

## Properties
- V (Å³ per atom) = 14.39
- total magnetic moment (μB per atom) = 0.000
- raw formation energy (kcal/mol of atoms) = 13.4
- D(E_F) (states/eV/cell) = 6.7

First-principles (PBE-GGA) data for a geometry-optimized ReSi2B structure, as listed in the Alexandria database.

a = 6.259 Å, b = 6.259 Å, c = 5.028 Å
α = 90.00°, β = 90.00°, γ = 90.00°
Space group I-42d (No. 122)
One atom of each set of equivalent atoms:
Re: 0.000 0.000 0.000 x4
Si: 0.175 0.250 0.625 x8
B: 0.000 0.000 0.500 x4

## Properties
- V (Å³ per atom) = 12.31
- total magnetic moment (μB per atom) = 0.000
- raw formation energy (kcal/mol of atoms) = 12.6
- D(E_F) (states/eV/cell) = 12.4